A plane-wave DFT calculation with meta-GGA SCAN was carried out for a PBEsol-optimized structure of Ba2CaHfGa.

Lattice parameters (Å, degrees): 6.0685 6.0685 5.2824 90.00 90.00 90.00
Element x y z (fractional)
Ba: 0.0000 0.5000 0.0000
Ba: 0.5000 0.0000 0.0000
Ca: 0.0000 0.0000 0.0000
Hf: 0.0000 0.0000 0.5000
Ga: 0.5000 0.5000 0.5000

Symmetry = P4/mmm, No. 123
E_tot = -32.350 eV/atom
Density of states at the Fermi level = 6.10 states/eV per cell
Total magnetization = 0.00 μB per formula unit

A plane-wave DFT calculation with meta-GGA SCAN was carried out for a PBEsol-optimized structure of AsSeBr2F.

Lattice parameters (Å, degrees): 5.1254 5.1254 5.1229 90.00 90.00 90.00
Element x y z (fractional)
As: 0.0000 0.0000 0.0000
Se: 0.0000 0.0000 0.5000
Br: 0.0000 0.5000 0.5000
Br: 0.5000 0.0000 0.5000
F: 0.5000 0.5000 0.0000

Uncorrected formation energy = 0.363 eV per atom
Symmetry = P4/mmm, No. 123
E_tot = -16.183 eV/atom
Density of states at the Fermi level = 5.17 states/eV per cell
Total magnetization = 1.00 μB per formula unit

A plane-wave DFT calculation with meta-GGA SCAN was carried out for a PBEsol-optimized structure of RbIn2Te2.

Lattice parameters (Å, degrees): 6.4820 6.4820 6.4820 127.78 127.78 76.97
Element x y z (fractional)
Rb: 0.0000 0.0000 0.0000
In: 0.3563 0.3563 0.0000
In: 0.6437 0.6437 0.0000
Te: 0.2500 0.7500 0.5000
Te: 0.7500 0.2500 0.5000

Uncorrected formation energy = -0.552 eV per atom
Symmetry = I4/mmm, No. 139
E_tot = -32.955 eV/atom
Density of states at the Fermi level = 0.90 states/eV per cell
Total magnetization = 0.00 μB per formula unit

A plane-wave DFT calculation with meta-GGA SCAN was carried out for a PBEsol-optimized structure of LaYCd.

Lattice parameters (Å, degrees): 6.9457 6.9457 6.9457 149.32 149.32 43.94
Element x y z (fractional)
La: 0.0000 0.0000 0.0000
Y: 0.6933 0.6933 0.0000
Cd: 0.3330 0.3330 0.0000

Symmetry = I4mm, No. 107
E_tot = -34.074 eV/atom
Density of states at the Fermi level = 2.24 states/eV per cell
Total magnetization = 0.93 μB per formula unit

A plane-wave DFT calculation with meta-GGA SCAN was carried out for a PBEsol-optimized structure of ZrBe2Pb.

Lattice parameters (Å, degrees): 3.2941 3.2941 6.1940 90.00 90.00 90.00
Element x y z (fractional)
Zr: 0.0000 0.0000 0.0000
Be: 0.5000 0.5000 0.2363
Be: 0.5000 0.5000 0.7637
Pb: 0.0000 0.0000 0.5000

Symmetry = P4/mmm, No. 123
E_tot = -28.489 eV/atom
Density of states at the Fermi level = 2.16 states/eV per cell
Total magnetization = 0.00 μB per formula unit

A plane-wave DFT calculation with meta-GGA SCAN was carried out for a PBEsol-optimized structure of CaCoSi4O10.

Lattice parameters (Å, degrees): 7.2387 7.2387 15.2416 90.00 90.00 90.00
Element x y z (fractional)
Ca: 0.2500 0.7500 0.0000
Ca: 0.2500 0.7500 0.5000
Ca: 0.7500 0.2500 0.0000
Ca: 0.7500 0.2500 0.5000
Co: 0.2500 0.2500 0.0819
Co: 0.2500 0.2500 0.5819
Co: 0.7500 0.7500 0.4181
Co: 0.7500 0.7500 0.9181
Si: 0.0018 0.0682 0.3533
Si: 0.0018 0.4318 0.8533
Si: 0.0682 0.0018 0.8533
Si: 0.0682 0.4982 0.3533
Si: 0.4318 0.0018 0.3533
Si: 0.4318 0.4982 0.8533
Si: 0.4982 0.0682 0.8533
Si: 0.4982 0.4318 0.3533
Si: 0.5018 0.5682 0.6467
Si: 0.5018 0.9318 0.1467
Si: 0.5682 0.5018 0.1467
Si: 0.5682 0.9982 0.6467
Si: 0.9318 0.5018 0.6467
Si: 0.9318 0.9982 0.1467
Si: 0.9982 0.5682 0.1467
Si: 0.9982 0.9318 0.6467
O: 0.0078 0.7094 0.6243
O: 0.0078 0.7906 0.1243
O: 0.0118 0.1535 0.0816
O: 0.0118 0.3465 0.5816
O: 0.0366 0.5366 0.2500
O: 0.0366 0.9634 0.7500
O: 0.1535 0.0118 0.5816
O: 0.1535 0.4882 0.0816
O: 0.2094 0.5078 0.8757
O: 0.2094 0.9922 0.3757
O: 0.2906 0.5078 0.3757
O: 0.2906 0.9922 0.8757
O: 0.3465 0.0118 0.0816
O: 0.3465 0.4882 0.5816
O: 0.4634 0.5366 0.7500
O: 0.4634 0.9634 0.2500
O: 0.4882 0.1535 0.5816
O: 0.4882 0.3465 0.0816
O: 0.4922 0.7094 0.1243
O: 0.4922 0.7906 0.6243
O: 0.5078 0.2094 0.3757
O: 0.5078 0.2906 0.8757
O: 0.5118 0.6535 0.9184
O: 0.5118 0.8465 0.4184
O: 0.5366 0.0366 0.7500
O: 0.5366 0.4634 0.2500
O: 0.6535 0.5118 0.4184
O: 0.6535 0.9882 0.9184
O: 0.7094 0.0078 0.1243
O: 0.7094 0.4922 0.6243
O: 0.7906 0.0078 0.6243
O: 0.7906 0.4922 0.1243
O: 0.8465 0.5118 0.9184
O: 0.8465 0.9882 0.4184
O: 0.9634 0.0366 0.2500
O: 0.9634 0.4634 0.7500
O: 0.9882 0.6535 0.4184
O: 0.9882 0.8465 0.9184
O: 0.9922 0.2094 0.8757
O: 0.9922 0.2906 0.3757

Uncorrected formation energy = -2.822 eV per atom
Symmetry = P4/ncc, No. 130
E_tot = -10.906 eV/atom
Density of states at the Fermi level = 27.06 states/eV per cell
Total magnetization = 1.00 μB per formula unit

A plane-wave DFT calculation with meta-GGA SCAN was carried out for a PBEsol-optimized structure of Mn2CrNi.

Lattice parameters (Å, degrees): 4.2253 4.2253 4.2253 130.63 130.63 72.41
Element x y z (fractional)
Mn: 0.2500 0.7500 0.5000
Mn: 0.7500 0.2500 0.5000
Cr: 0.0000 0.0000 0.0000
Ni: 0.5000 0.5000 0.0000

Symmetry = I4/mmm, No. 139
E_tot = -17.847 eV/atom
Density of states at the Fermi level = 2.54 states/eV per cell
Total magnetization = 3.99 μB per formula unit

A plane-wave DFT calculation with meta-GGA SCAN was carried out for a PBEsol-optimized structure of TcTePI2.

Lattice parameters (Å, degrees): 5.3197 5.3197 5.2398 90.00 90.00 90.00
Element x y z (fractional)
Tc: 0.0000 0.0000 0.0000
Te: 0.5000 0.5000 0.0000
P: 0.5000 0.5000 0.5000
I: 0.0000 0.5000 0.5000
I: 0.5000 0.0000 0.5000

Uncorrected formation energy = 1.031 eV per atom
Symmetry = P4/mmm, No. 123
E_tot = -30.207 eV/atom
Density of states at the Fermi level = 2.36 states/eV per cell
Total magnetization = 5.07 μB per formula unit
Excess energy over the best structure of this formula in the dataset = 0.412 eV/f.u.

Copy entry 1 word for word.
A plane-wave DFT calculation with meta-GGA SCAN was carried out for a PBEsol-optimized structure of Ba2CaHfGa.

Lattice parameters (Å, degrees): 6.0685 6.0685 5.2824 90.00 90.00 90.00
Element x y z (fractional)
Ba: 0.0000 0.5000 0.0000
Ba: 0.5000 0.0000 0.0000
Ca: 0.0000 0.0000 0.0000
Hf: 0.0000 0.0000 0.5000
Ga: 0.5000 0.5000 0.5000

Symmetry = P4/mmm, No. 123
E_tot = -32.350 eV/atom
Density of states at the Fermi level = 6.10 states/eV per cell
Total magnetization = 0.00 μB per formula unit

- What is the total magnetization in the fourth record?
  0.93 μB per formula unit